# BaNaWO4 PBE with a Hubbard U optimized geometry
data_BaNaWO4
_chemical_formula_sum 'Ba2 Na2 W2 O8'
_cell_length_a 6.323
_cell_length_b 6.192
_cell_length_c 7.154
_cell_angle_alpha 90.00
_cell_angle_beta 108.41
_cell_angle_gamma 90.00
_symmetry_space_group_name_H-M 'P 1 21/m 1'
_symmetry_Int_Tables_number 11
loop_
_symmetry_equiv_pos_as_xyz
'x,y,z'
'-x,-y,-z'
'-x,y+1/2,-z'
'x,-y+1/2,z'
loop_
_atom_site_label
_atom_site_type_symbol
_atom_site_fract_x
_atom_site_fract_y
_atom_site_fract_z
Ba1 Ba 0.238 0.250 0.459
Na1 Na 0.330 0.250 0.994
W1 W 0.215 0.750 0.165
O1 O 0.016 0.750 0.909
O2 O 0.031 0.750 0.330
O3 O 0.428 0.523 0.238
# **Crystal system**: monoclinic
# **Magnetic moment**: 1.000 μB per formula unit
# **E_tot**: -90.16 eV per cell